Material: PSe2BrN
Method: DFT, PBE
State: optimized geometry

Results
The raw total energy comes out at -3.089 eV per atom.

Unit cell a=4.8207 b=4.8207 c=5.2797 alpha=90.00 beta=90.00 gamma=90.00
Closest atoms and distances in Å follow each position.
Space group P4/mmm (No. 123)
Asymmetric unit:
P  0.0000  0.0000  0.0000 [1 per cell]  4 Se 2.41, 2 Br 2.64
Se  0.0000  0.5000  0.0000 [2 per cell]  2 P 2.41
Br  0.0000  0.0000  0.5000 [1 per cell]  2 P 2.64
N  0.5000  0.5000  0.5000 [1 per cell]  4 Br 3.41, 8 Se 3.57

***

Material: PSeBrN2
Method: DFT, PBE
State: optimized geometry

Results
The raw total energy comes out at -3.260 eV per atom.

Unit cell a=3.7627 b=3.7627 c=7.8644 alpha=90.00 beta=90.00 gamma=90.00
Closest atoms and distances in Å follow each position.
Space group P4/mmm (No. 123)
Asymmetric unit:
P  0.0000  0.0000  0.0000 [1 per cell]  4 Se 2.66
Se  0.5000  0.5000  0.0000 [1 per cell]  4 P 2.66
Br  0.5000  0.5000  0.5000 [1 per cell]  4 N 1.88
N  0.0000  0.5000  0.5000 [2 per cell]  2 Br 1.88

***

Material: SnPBr2N
Method: DFT, PBE
State: optimized geometry

Results
The raw total energy comes out at -3.969 eV per atom.

Unit cell a=5.7919 b=5.7919 c=3.3725 alpha=90.00 beta=90.00 gamma=90.00
Closest atoms and distances in Å follow each position.
Space group P4/mmm (No. 123)
Asymmetric unit:
Sn  0.0000  0.0000  0.0000 [1 per cell]  8 Br 3.35, 2 Sn 3.37
P  0.5000  0.5000  0.5000 [1 per cell]  2 N 1.69
Br  0.0000  0.5000  0.5000 [2 per cell]  2 P 2.90
N  0.5000  0.5000  0.0000 [1 per cell]  2 P 1.69

***

no.,magnetization (μB/cell),E_form (uncorrected) (eV/atom)
1,2.73,1.386
2,1.11,2.184
3,0.00,0.248